Entry 1:
# GGA-PBE PmNd5Zn4, relaxed
# ρ = 6.93 g cm⁻³
# E_form = -0.2438 eV per atom
# Crystal system = tetragonal
data_PmNd5Zn4
_chemical_formula_sum 'Pm1 Nd5 Zn4'
_space_group_name_H-M_alt 'P 4/m m m'
_space_group_IT_number 123
_space_group_name_Hall '-P 4 2'
_cell_length_a 3.684
_cell_length_b 3.684
_cell_length_c 19.927
_cell_angle_alpha 90.00
_cell_angle_beta 90.00
_cell_angle_gamma 90.00
loop_
_atom_site_label
_atom_site_fract_x
_atom_site_fract_y
_atom_site_fract_z
Pm1 0.000 0.000 0.000
Nd1 0.500 0.500 0.131
Nd2 0.500 0.500 0.316
Nd3 0.500 0.500 0.500
Zn1 0.000 0.000 0.222
Zn2 0.000 0.000 0.407


Entry 2:
# GGA-PBE MoPtW2N, relaxed
# ΔE_f (raw) = -0.83 eV/f.u.
# ρ = 16.03 g cm⁻³
# Crystal system = tetragonal
# Energy above the lowest structure with this stoichiometry = 0.0000 eV per atom
data_MoPtW2N
_chemical_formula_sum 'Mo1 Pt1 W2 N1'
_space_group_name_H-M_alt 'P 4/m m m'
_space_group_IT_number 123
_space_group_name_Hall '-P 4 2'
_cell_length_a 4.113
_cell_length_b 4.113
_cell_length_c 4.121
_cell_angle_alpha 90.00
_cell_angle_beta 90.00
_cell_angle_gamma 90.00
loop_
_atom_site_label
_atom_site_fract_x
_atom_site_fract_y
_atom_site_fract_z
Mo1 0.000 0.000 0.000
Pt1 0.500 0.500 0.000
W1 0.000 0.500 0.500
N1 0.000 0.000 0.500


In Å³ per cell, the V values for the records above are, in order, 270.39 69.70.